1.
## ZnNiHS2 (PBE-GGA)

Data for an optimized crystal structure of ZnNiHS2.

```
5
Lattice="-2.818 -1.870 3.068 -0.818 -2.196 -2.090 3.390 -2.675 1.484" Properties=species:S:1:pos:R:3 pbc="T T T"
Ni 0.000 0.000 0.000
Zn -0.123 -3.370 1.231
S 1.695 -1.337 0.742
S -1.409 -0.935 1.534
H -0.409 -1.098 -1.045
```

Symmetry   P4/mmm, No. 123
Raw total energy   -0.135 hartree per atom

2.
## Sc2NbAs (PBE-GGA)

Data for an optimized crystal structure of Sc2NbAs.

```
4
Lattice="1.969 0.000 8.926 -0.985 1.705 8.926 -0.985 -1.705 8.926" Properties=species:S:1:pos:R:3 pbc="T T T"
Sc 0.000 0.000 24.039
Sc 0.000 0.000 2.739
Nb 0.000 0.000 0.000
As 0.000 0.000 13.389
```

Symmetry   R-3m, No. 166
Raw total energy   -0.249 hartree per atom
Formation energy from the elements   0.065 eV per atom

3.
## Gd2RhCl (PBE-GGA)

Data for an optimized crystal structure of Gd2RhCl.

```
4
Lattice="-1.219 -0.733 -3.075 2.829 -1.722 -0.711 -3.323 -6.658 2.904" Properties=species:S:1:pos:R:3 pbc="T T T"
Gd -2.605 -5.219 2.277
Gd -0.718 -1.438 0.627
Rh 0.805 -1.228 -1.893
Cl -0.856 -4.556 -0.441
```

Energy above the most stable polymorph in this dataset   154 meV per atom
Symmetry   P4/mmm, No. 123
E_form (uncorrected)   -1043 meV per atom
Raw total energy   -0.382 hartree per atom